Computed, not measured: Tm4NpRu5 after structural relaxation at the PBE-GGA level of DFT.

Output
The symmetry is P4/mmm. As for the electronic total energy: -8.110 eV/atom. The density of states at the Fermi level comes out at 8.2 states/eV/cell. The calculation puts the energy of formation at -389 meV per atom.

Geometry as POSCAR:
```
Tm4NpRu5
1.0
3.353 0.000 0.000
0.000 3.353 0.000
0.000 0.000 16.861
Tm Np Ru
4 1 5
Cartesian
0.000 0.000 1.667 Tm
0.000 0.000 4.979 Tm
0.000 0.000 11.881 Tm
0.000 0.000 15.194 Tm
0.000 0.000 8.430 Np
1.676 1.676 0.000 Ru
1.676 1.676 3.394 Ru
1.676 1.676 6.899 Ru
1.676 1.676 9.962 Ru
1.676 1.676 13.467 Ru
```

***

Computed, not measured: Li2OsBr after structural relaxation at the PBE-GGA level of DFT.

Output
The symmetry is Pm. The formation energy (no corrections) comes out at 316 meV per atom. The energy above the most stable polymorph in this dataset is 296 meV per atom. As for the electronic total energy: -3.866 eV/atom. The density of states at the Fermi level comes out at 2.1 states/eV/cell.

Geometry as POSCAR:
```
Li2OsBr
1.0
2.900 0.000 0.000
0.000 4.625 0.000
-0.045 0.000 4.821
Li Os Br
2 1 1
Cartesian
0.000 0.000 0.000 Li
0.005 2.312 3.431 Li
1.461 2.312 1.048 Os
1.458 0.000 2.062 Br
```

***

Computed, not measured: Mg2PBr after structural relaxation at the PBE-GGA level of DFT.

Output
The symmetry is P4/mmm. The formation energy (no corrections) comes out at -438 meV per atom. The energy above the most stable polymorph in this dataset is 457 meV per atom. As for the electronic total energy: -3.006 eV/atom. The density of states at the Fermi level comes out at 1.4 states/eV/cell.

Geometry as POSCAR:
```
Mg2PBr
1.0
3.411 0.000 0.000
0.000 3.411 0.000
0.000 0.000 7.211
Mg P Br
2 1 1
Cartesian
0.000 0.000 1.422 Mg
0.000 0.000 5.789 Mg
1.706 1.706 0.000 P
1.706 1.706 3.605 Br
```

***

no.,V (Å³ per atom)
1,18.955
2,16.163
3,20.978